(1)
Ac3LaTh2Sb6 after structural relaxation. Source: Alexandria via LeMat-Bulk, functional PBE.

Output
SG	No. 12
energy relative to the elements, uncorrected	-1.1344	eV per atom
volume	35.9	Å³ per atom
final energy	-70.44	eV for the cell shown

```
12
Lattice="4.031 -6.988 0.000 4.031 6.988 0.000 -2.687 0.000 7.640" Properties=species:S:1:pos:R:3 pbc="T T T"
Ac 0.000 0.000 0.000
Ac 4.031 2.306 0.000
Ac 4.031 -2.306 0.000
La 2.688 0.000 3.820
Th 2.688 4.652 3.820
Th 2.688 -4.652 3.820
Sb 1.324 2.360 2.026
Sb -0.038 0.000 5.602
Sb 1.324 -2.360 2.026
Sb 4.051 2.360 5.614
Sb 5.414 0.000 2.037
Sb 4.051 -2.360 5.614
```



(2)
AuSe2Br after structural relaxation. Source: Alexandria via LeMat-Bulk, functional PBE.

Output
SG	No. 6
energy relative to the elements, uncorrected	0.1350	eV per atom
volume	29.6	Å³ per atom
final energy	-11.38	eV for the cell shown

```
4
Lattice="4.668 0.000 0.000 0.000 4.970 0.000 -1.635 0.000 5.103" Properties=species:S:1:pos:R:3 pbc="T T T"
Au 0.000 0.000 0.000
Se 0.665 0.000 4.241
Se 1.629 2.485 4.686
Br 2.772 2.485 2.220
```



(3)
Tb5As4C after structural relaxation. Source: Alexandria via LeMat-Bulk, functional PBE.

Output
SG	No. 79
energy relative to the elements	-1151	meV/atom
volume	23.5	Å³ per atom
final energy	-62.48	eV for the cell shown

```
10
Lattice="-4.500 4.500 2.896 4.500 -4.500 2.896 4.500 4.500 -2.896" Properties=species:S:1:pos:R:3 pbc="T T T"
Tb 0.000 0.000 0.000
Tb 5.337 2.036 0.207
Tb 2.036 3.662 0.207
Tb 2.464 0.837 3.103
Tb -0.837 2.464 3.103
As 2.733 0.830 0.220
As 3.670 -1.767 3.116
As 0.830 6.266 0.220
As 1.767 3.670 3.116
C 0.000 0.000 3.314
```



The lowest volume belongs to which entry?
Tb5As4C



Which value of final energy does entry 1 give?
-70.44 eV for the cell shown



The highest volume belongs to which entry?
Ac3LaTh2Sb6